[1]
## KCr3Pt (SCAN)

Data for a PBEsol-optimized structure of KCr3Pt.

extended XYZ file:
```
5
Lattice="4.987 0.000 0.000 0.000 4.987 0.000 0.000 0.000 4.987" Properties=species:S:1:pos:R:3 pbc="T T T"
K 0.000 0.000 0.000
Cr 0.000 2.494 2.494
Cr 2.494 0.000 2.494
Cr 2.494 2.494 0.000
Pt 2.494 2.494 2.494
```

Summary:
Symmetry   Pm-3m, No. 221
Total moment   2.6406 μB/atom
Final energy   -130.6 eV for the cell shown
D(E_F)   7.66 states/eV per cell

[2]
## Ag2Bi2Sb (SCAN)

Data for a PBEsol-optimized structure of Ag2Bi2Sb.

extended XYZ file:
```
5
Lattice="-1.936 1.936 8.354 1.936 -1.936 8.354 1.936 1.936 -8.354" Properties=species:S:1:pos:R:3 pbc="T T T"
Ag 1.936 0.000 4.177
Ag 0.000 1.936 4.177
Bi 0.000 0.000 1.829
Bi 0.000 0.000 14.878
Sb 0.000 0.000 8.354
```

Summary:
Symmetry   I4/mmm, No. 139
Total moment   0.0000 μB/atom
Final energy   -256.1 eV for the cell shown
D(E_F)   2.44 states/eV per cell

[3]
## Li3Hg5 (SCAN)

Data for a PBEsol-optimized structure of Li3Hg5.

extended XYZ file:
```
8
Lattice="3.679 -4.567 0.000 3.679 4.567 0.000 0.000 0.000 4.547" Properties=species:S:1:pos:R:3 pbc="T T T"
Li 0.000 0.000 0.000
Li 3.679 2.063 2.274
Li 3.679 -2.063 2.274
Hg 1.840 2.284 0.000
Hg 1.570 0.000 2.274
Hg 1.840 -2.284 0.000
Hg 3.679 0.000 0.000
Hg 5.788 0.000 2.274
```

Summary:
Symmetry   Cmmm, No. 65
Total moment   0.0000 μB/atom
Final energy   -350.6 eV for the cell shown
D(E_F)   2.49 states/eV per cell

[4]
## Ge2TeMoIr (SCAN)

Data for a PBEsol-optimized structure of Ge2TeMoIr.

extended XYZ file:
```
5
Lattice="5.177 0.000 0.000 0.000 5.177 0.000 0.000 0.000 4.776" Properties=species:S:1:pos:R:3 pbc="T T T"
Ge 0.000 2.589 0.000
Ge 2.589 0.000 0.000
Te 0.000 0.000 0.000
Mo 2.589 2.589 2.388
Ir 0.000 0.000 2.388
```

Summary:
Symmetry   P4/mmm, No. 123
Total moment   0.8790 μB/atom
Final energy   -172.3 eV for the cell shown
D(E_F)   3.37 states/eV per cell

[5]
## YAl8Fe4 (SCAN)

Data for a PBEsol-optimized structure of YAl8Fe4.

extended XYZ file:
```
13
Lattice="-4.303 4.303 2.485 4.303 -4.303 2.485 4.303 4.303 -2.485" Properties=species:S:1:pos:R:3 pbc="T T T"
Y 0.000 0.000 0.000
Al 2.922 0.000 0.000
Al 5.683 0.000 0.000
Al 4.303 2.405 0.000
Al 0.000 2.922 0.000
Al 2.405 4.303 0.000
Al 1.897 0.000 2.485
Al 0.000 5.683 0.000
Al 0.000 1.897 2.485
Fe 2.151 2.151 -1.242
Fe 2.151 -2.151 1.242
Fe -2.151 2.151 1.242
Fe 2.151 2.151 1.242
```

Summary:
Symmetry   I4/mmm, No. 139
Total moment   0.5114 μB/atom
Final energy   -168.5 eV for the cell shown
D(E_F)   6.02 states/eV per cell

[6]
## YCuS2 (SCAN)

Data for a PBEsol-optimized structure of YCuS2.

extended XYZ file:
```
4
Lattice="2.018 1.165 6.994 -2.018 1.165 6.994 0.000 -2.330 6.994" Properties=species:S:1:pos:R:3 pbc="T T T"
Y 0.000 0.000 0.000
Cu 0.000 0.000 10.491
S 0.000 0.000 8.389
S 0.000 0.000 12.593
```

Summary:
Symmetry   R-3m, No. 166
Total moment   0.0000 μB/atom
Final energy   -68.3 eV for the cell shown
D(E_F)   0.00 states/eV per cell